1.
VASP calculation (GGA-PBE) on crystalline CoBiSbTe2 at its relaxed geometry.

ΔE_f (raw) = 0.270 eV per atom
energy above the most stable polymorph in this dataset = 0 meV/atom

a b c (Å): 5.216 5.216 4.821
angles (deg): 90.00 90.00 90.00
Fractional positions:
Bi (0.500, 0.500, 0.500)
Sb (0.000, 0.000, 0.500)
Co (0.000, 0.000, 0.000)
Te (0.000, 0.500, 0.000)
Te (0.500, 0.000, 0.000)

---

2.
VASP calculation (GGA-PBE) on crystalline CoBiSb2Te at its relaxed geometry.

ΔE_f (raw) = 0.268 eV per atom
energy above the most stable polymorph in this dataset = 0 meV/atom

a b c (Å): 4.911 4.911 5.397
angles (deg): 90.00 90.00 90.00
Fractional positions:
Bi (0.500, 0.500, 0.500)
Co (0.000, 0.000, 0.000)
Sb (0.000, 0.500, 0.000)
Sb (0.500, 0.000, 0.000)
Te (0.000, 0.000, 0.500)

---

3.
VASP calculation (GGA-PBE) on crystalline CoBiSbTe2 at its relaxed geometry.

ΔE_f (raw) = 1.348 eV per atom
energy above the most stable polymorph in this dataset = 1078 meV/atom

a b c (Å): 5.931 5.931 5.794
angles (deg): 90.00 90.00 90.00
Each line ends with the local moment (μB).
Fractional positions:
Sb (0.000, 0.000, 0.500)  -0.20
Te (0.500, 0.000, 0.000)  -0.01
Te (0.000, 0.500, 0.000)  -0.01
Co (0.500, 0.500, 0.500)  2.31
Bi (0.000, 0.000, 0.000)  0.02

---

4.
VASP calculation (GGA-PBE) on crystalline CoBiSb2Te at its relaxed geometry.

ΔE_f (raw) = 1.501 eV per atom
energy above the most stable polymorph in this dataset = 1233 meV/atom

a b c (Å): 5.772 5.772 5.928
angles (deg): 90.00 90.00 90.00
Each line ends with the local moment (μB).
Fractional positions:
Bi (0.000, 0.000, 0.000)  0.01
Te (0.000, 0.000, 0.500)  0.02
Co (0.500, 0.500, 0.500)  2.21
Sb (0.500, 0.000, 0.000)  -0.02
Sb (0.000, 0.500, 0.000)  -0.02

---

5.
VASP calculation (GGA-PBE) on crystalline Zn2CoBiSb at its relaxed geometry.

ΔE_f (raw) = 0.272 eV per atom

a b c (Å): 4.782 4.757 4.782
angles (deg): 90.00 90.00 90.00
Fractional positions:
Co (0.000, 0.000, 0.000)
Sb (0.000, 0.500, 0.000)
Zn (0.000, 0.000, 0.500)
Zn (0.500, 0.000, 0.000)
Bi (0.500, 0.500, 0.500)

---

6.
VASP calculation (GGA-PBE) on crystalline Sc5CoBi2 at its relaxed geometry.

energy of formation = -0.12 eV/atom
energy above the most stable polymorph in this dataset = 378 meV/atom

a b c (Å): 5.142 7.994 13.106
angles (deg): 90.00 90.00 108.76
Fractional positions:
Sc (0.057, 0.113, 0.124)
Sc (0.943, 0.887, 0.876)
Sc (0.267, 0.534, 0.108)
Sc (0.696, 0.391, 0.250)
Sc (0.304, 0.609, 0.750)
Sc (0.267, 0.534, 0.392)
Sc (0.733, 0.466, 0.608)
Sc (0.057, 0.113, 0.376)
Sc (0.943, 0.887, 0.624)
Sc (0.733, 0.466, 0.892)
Co (0.833, 0.666, 0.750)
Co (0.167, 0.334, 0.250)
Bi (0.861, 0.722, 0.084)
Bi (0.139, 0.278, 0.584)
Bi (0.139, 0.278, 0.916)
Bi (0.861, 0.722, 0.416)

---

7.
VASP calculation (GGA-PBE) on crystalline Sc2CoBi at its relaxed geometry.

energy of formation = -0.11 eV/atom

a b c (Å): 7.486 7.486 6.119
angles (deg): 52.28 52.28 90.00
Fractional positions:
Co (0.500, 0.500, 0.000)
Co (0.250, 0.750, 0.500)
Bi (0.750, 0.250, 0.500)
Bi (0.000, 0.000, 0.000)
Sc (0.875, 0.809, 0.750)
Sc (0.191, 0.625, 0.250)
Sc (0.559, 0.125, 0.250)
Sc (0.375, 0.441, 0.750)

---

8.
VASP calculation (GGA-PBE) on crystalline ScCo4Bi at its relaxed geometry.

energy of formation = -0.03 eV/atom

a b c (Å): 4.992 4.992 4.992
angles (deg): 60.00 60.00 60.00
Each line ends with the local moment (μB).
Fractional positions:
Co (0.123, 0.626, 0.626)  1.59
Co (0.626, 0.626, 0.123)  1.59
Co (0.626, 0.123, 0.626)  1.59
Co (0.626, 0.626, 0.626)  1.59
Sc (0.000, 0.000, 0.000)  -0.27
Bi (0.250, 0.250, 0.250)  0.05

---

9.
VASP calculation (GGA-PBE) on crystalline ScCo3Bi at its relaxed geometry.

energy of formation = 1.06 eV/atom
energy above the most stable polymorph in this dataset = 0 meV/atom

a b c (Å): 4.725 4.725 4.725
angles (deg): 90.00 90.00 90.00
Each line ends with the local moment (μB).
Fractional positions:
Bi (0.000, 0.000, 0.000)  -0.03
Co (0.000, 0.500, 0.000)  1.24
Co (0.500, 0.000, 0.000)  1.41
Co (0.000, 0.000, 0.500)  1.30
Sc (0.500, 0.500, 0.500)  -0.37

---

10.
VASP calculation (GGA-PBE) on crystalline Sc2Co2Bi at its relaxed geometry.

energy of formation = 0.03 eV/atom
energy above the most stable polymorph in this dataset = 312 meV/atom

a b c (Å): 7.724 7.724 3.107
angles (deg): 90.00 90.00 90.00
Fractional positions:
Sc (0.359, 0.859, 0.000)
Sc (0.141, 0.359, 0.000)
Sc (0.859, 0.641, 0.000)
Sc (0.641, 0.141, 0.000)
Co (0.862, 0.362, 0.500)
Co (0.362, 0.138, 0.500)
Co (0.138, 0.638, 0.500)
Co (0.638, 0.862, 0.500)
Bi (0.000, 0.000, 0.000)
Bi (0.500, 0.500, 0.000)

---

11.
VASP calculation (GGA-PBE) on crystalline Sc4Co2Bi at its relaxed geometry.

energy of formation = -0.28 eV/atom

a b c (Å): 4.783 4.783 13.821
angles (deg): 90.00 90.00 120.04
Fractional positions:
Bi (0.499, 0.501, 0.250)
Bi (0.501, 0.499, 0.750)
Sc (0.167, 0.833, 0.886)
Sc (0.500, 0.500, 0.500)
Sc (0.834, 0.166, 0.750)
Sc (0.167, 0.833, 0.614)
Sc (0.833, 0.167, 0.114)
Sc (0.500, 0.500, 0.000)
Sc (0.833, 0.167, 0.386)
Sc (0.166, 0.834, 0.250)
Co (0.834, 0.166, 0.560)
Co (0.166, 0.834, 0.060)
Co (0.834, 0.166, 0.940)
Co (0.166, 0.834, 0.440)

---

12.
VASP calculation (GGA-PBE) on crystalline Sc5Co2Bi at its relaxed geometry.

energy of formation = -0.39 eV/atom

a b c (Å): 6.893 6.893 8.542
angles (deg): 113.80 113.80 90.00
Fractional positions:
Sc (0.962, 0.462, 0.251)
Sc (0.462, 0.290, 0.251)
Sc (0.500, 0.500, 0.000)
Sc (0.000, 0.000, 0.000)
Sc (0.290, 0.790, 0.251)
Sc (0.790, 0.962, 0.251)
Sc (0.710, 0.210, 0.749)
Sc (0.038, 0.538, 0.749)
Sc (0.538, 0.710, 0.749)
Sc (0.210, 0.038, 0.749)
Bi (0.750, 0.750, 0.500)
Bi (0.250, 0.250, 0.500)
Co (0.134, 0.366, 0.000)
Co (0.634, 0.134, 0.000)
Co (0.366, 0.866, 0.000)
Co (0.866, 0.634, 0.000)

---

Listing D(E_F) for the structures above in their given order: 5.75, 4.05, 8.52, 16.28, 4.76, 10.03, 10.11, 8.91, 1.83, 8.89, 10.32, 18.80 states/eV per cell.